# 1
# La2Er2Cd, optimized geometry, DFT PBE
# - energy of formation from the pure elements (eV/atom) = -0.106
# - crystal system = tetragonal
# - polymorph energy (0 for the lowest one) (eV/atom) = 0.000
# - electronic total energy (eV per cell) = -40.855
data_La2Er2Cd
_cell_length_a 3.663
_cell_length_b 3.663
_cell_length_c 23.276
_cell_angle_alpha 90.00
_cell_angle_beta 90.00
_cell_angle_gamma 90.00
_symmetry_space_group_name_H-M 'I 4/m m m'
_symmetry_Int_Tables_number 139
_symmetry_space_group_name_Hall '-I 4 2'
loop_
_atom_site_label
_atom_site_fract_x
_atom_site_fract_y
_atom_site_fract_z
_atom_site_occupancy
La1 0.000 0.000 0.192 1
Er1 0.000 0.000 0.417 1
Cd1 0.000 0.000 0.000 1

***

# 2
# LaErCd6, optimized geometry, DFT PBE
# - energy of formation from the pure elements (eV/atom) = -0.276
# - crystal system = orthorhombic
# - polymorph energy (0 for the lowest one) (eV/atom) = 0.002
# - electronic total energy (eV per cell) = -34.376
data_LaErCd6
_cell_length_a 4.933
_cell_length_b 7.278
_cell_length_c 11.120
_cell_angle_alpha 90.00
_cell_angle_beta 90.00
_cell_angle_gamma 90.00
_symmetry_space_group_name_H-M 'A m m 2'
_symmetry_Int_Tables_number 38
loop_
_symmetry_equiv_pos_as_xyz
'x,y,z'
'-x,-y,z'
'-x,y,z'
'x,-y,z'
'x,y+1/2,z+1/2'
'-x,-y+1/2,z+1/2'
'-x,y+1/2,z+1/2'
'x,-y+1/2,z+1/2'
loop_
_atom_site_label
_atom_site_fract_x
_atom_site_fract_y
_atom_site_fract_z
_atom_site_occupancy
La1 0.000 0.000 0.000 1
Er1 0.500 0.000 0.724 1
Cd1 0.000 0.000 0.540 1
Cd2 0.000 0.217 0.268 1
Cd3 0.500 0.000 0.196 1
Cd4 0.500 0.211 0.455 1

***

# 3
# LaErCd4, optimized geometry, DFT PBE
# - energy of formation from the pure elements (eV/atom) = -0.278
# - crystal system = cubic
# - polymorph energy (0 for the lowest one) (eV/atom) = 0.052
# - electronic total energy (eV per cell) = -59.281
data_LaErCd4
_cell_length_a 8.462
_cell_length_b 8.462
_cell_length_c 8.462
_cell_angle_alpha 90.00
_cell_angle_beta 90.00
_cell_angle_gamma 90.00
_symmetry_space_group_name_H-M 'F -4 3 m'
_symmetry_Int_Tables_number 216
_symmetry_space_group_name_Hall 'F -4 2 3'
loop_
_atom_site_label
_atom_site_fract_x
_atom_site_fract_y
_atom_site_fract_z
_atom_site_occupancy
La1 0.000 0.000 0.000 1
Er1 0.250 0.250 0.750 1
Cd1 0.125 0.125 0.375 1

***

# 4
# LaErCd6, optimized geometry, DFT PBE
# - energy of formation from the pure elements (eV/atom) = -0.278
# - crystal system = orthorhombic
# - polymorph energy (0 for the lowest one) (eV/atom) = 0.000
# - electronic total energy (eV per cell) = -17.208
data_LaErCd6
_cell_length_a 5.176
_cell_length_b 7.228
_cell_length_c 5.179
_cell_angle_alpha 90.00
_cell_angle_beta 90.00
_cell_angle_gamma 90.00
_symmetry_space_group_name_H-M 'P m m 2'
_symmetry_Int_Tables_number 25
loop_
_symmetry_equiv_pos_as_xyz
'x,y,z'
'-x,-y,z'
'-x,y,z'
'x,-y,z'
loop_
_atom_site_label
_atom_site_fract_x
_atom_site_fract_y
_atom_site_fract_z
_atom_site_occupancy
La1 0.000 0.000 0.000 1
Er1 0.500 0.500 0.499 1
Cd1 0.000 0.263 0.500 1
Cd2 0.000 0.500 0.000 1
Cd3 0.500 0.000 0.499 1
Cd4 0.500 0.263 0.999 1

***

# 5
# La2ErCd, optimized geometry, DFT PBE
# - energy of formation from the pure elements (eV/atom) = -0.128
# - crystal system = tetragonal
# - polymorph energy (0 for the lowest one) (eV/atom) = 0.023
# - electronic total energy (eV per cell) = -15.846
data_La2ErCd
_cell_length_a 3.799
_cell_length_b 3.799
_cell_length_c 9.002
_cell_angle_alpha 90.00
_cell_angle_beta 90.00
_cell_angle_gamma 90.00
_symmetry_space_group_name_H-M 'P 4/m m m'
_symmetry_Int_Tables_number 123
_symmetry_space_group_name_Hall '-P 4 2'
loop_
_atom_site_label
_atom_site_fract_x
_atom_site_fract_y
_atom_site_fract_z
_atom_site_occupancy
La1 0.000 0.000 0.231 1
Er1 0.500 0.500 0.500 1
Cd1 0.500 0.500 0.000 1

***

# 6
# La3ErCd4, optimized geometry, DFT PBE
# - energy of formation from the pure elements (eV/atom) = -0.318
# - crystal system = tetragonal
# - electronic total energy (eV per cell) = -25.547
data_La3ErCd4
_cell_length_a 3.832
_cell_length_b 3.832
_cell_length_c 15.903
_cell_angle_alpha 90.00
_cell_angle_beta 90.00
_cell_angle_gamma 90.00
_symmetry_space_group_name_H-M 'P 4/m m m'
_symmetry_Int_Tables_number 123
_symmetry_space_group_name_Hall '-P 4 2'
loop_
_atom_site_label
_atom_site_fract_x
_atom_site_fract_y
_atom_site_fract_z
_atom_site_occupancy
La1 0.000 0.000 0.000 1
La2 0.000 0.000 0.259 1
Er1 0.000 0.000 0.500 1
Cd1 0.500 0.500 0.128 1
Cd2 0.500 0.500 0.392 1

***

# 7
# LaErCd4, optimized geometry, DFT PBE
# - energy of formation from the pure elements (eV/atom) = -0.330
# - crystal system = orthorhombic
# - polymorph energy (0 for the lowest one) (eV/atom) = 0.000
# - electronic total energy (eV per cell) = -15.133
data_LaErCd4
_cell_length_a 3.463
_cell_length_b 5.054
_cell_length_c 8.765
_cell_angle_alpha 90.00
_cell_angle_beta 90.00
_cell_angle_gamma 90.00
_symmetry_space_group_name_H-M 'P m m m'
_symmetry_Int_Tables_number 47
loop_
_symmetry_equiv_pos_as_xyz
'x,y,z'
'-x,-y,-z'
'-x,-y,z'
'x,y,-z'
'x,-y,-z'
'-x,y,z'
'-x,y,-z'
'x,-y,z'
loop_
_atom_site_label
_atom_site_fract_x
_atom_site_fract_y
_atom_site_fract_z
_atom_site_occupancy
La1 0.000 0.000 0.000 1
Er1 0.000 0.500 0.500 1
Cd1 0.500 0.000 0.340 1
Cd2 0.500 0.500 0.175 1

***

# 8
# La5ErCd, optimized geometry, DFT PBE
# - energy of formation from the pure elements (eV/atom) = 0.053
# - crystal system = monoclinic
# - electronic total energy (eV per cell) = -118.972
data_La5ErCd
_cell_length_a 9.852
_cell_length_b 13.330
_cell_length_c 8.041
_cell_angle_alpha 90.00
_cell_angle_beta 113.35
_cell_angle_gamma 90.00
_symmetry_space_group_name_H-M 'C 1 2/c 1'
_symmetry_Int_Tables_number 15
loop_
_symmetry_equiv_pos_as_xyz
'x,y,z'
'-x,-y,-z'
'-x,y,-z+1/2'
'x,-y,z+1/2'
'x+1/2,y+1/2,z'
'-x+1/2,-y+1/2,-z'
'-x+1/2,y+1/2,-z+1/2'
'x+1/2,-y+1/2,z+1/2'
loop_
_atom_site_label
_atom_site_fract_x
_atom_site_fract_y
_atom_site_fract_z
_atom_site_occupancy
La1 0.000 0.097 0.250 1
La2 0.088 0.329 0.084 1
La3 0.212 0.460 0.836 1
Er1 0.000 0.151 0.750 1
Cd1 0.250 0.250 0.500 1

***

# 9
# La2ErCd, optimized geometry, DFT PBE
# - energy of formation from the pure elements (eV/atom) = -0.019
# - crystal system = orthorhombic
# - polymorph energy (0 for the lowest one) (eV/atom) = 0.133
# - electronic total energy (eV per cell) = -30.816
data_La2ErCd
_cell_length_a 3.597
_cell_length_b 3.514
_cell_length_c 20.354
_cell_angle_alpha 90.00
_cell_angle_beta 90.00
_cell_angle_gamma 90.00
_symmetry_space_group_name_H-M 'A m m 2'
_symmetry_Int_Tables_number 38
loop_
_symmetry_equiv_pos_as_xyz
'x,y,z'
'-x,-y,z'
'-x,y,z'
'x,-y,z'
'x,y+1/2,z+1/2'
'-x,-y+1/2,z+1/2'
'-x,y+1/2,z+1/2'
'x,-y+1/2,z+1/2'
loop_
_atom_site_label
_atom_site_fract_x
_atom_site_fract_y
_atom_site_fract_z
_atom_site_occupancy
La1 0.000 0.000 0.000 1
La2 0.500 0.000 0.360 1
Er1 0.000 0.000 0.212 1
Cd1 0.500 0.000 0.615 1

***

# 10
# La2Er8Cd, optimized geometry, DFT PBE
# - energy of formation from the pure elements (eV/atom) = 0.010
# - crystal system = monoclinic
# - electronic total energy (eV per cell) = -94.322
data_La2Er8Cd
_cell_length_a 18.736
_cell_length_b 5.392
_cell_length_c 6.832
_cell_angle_alpha 90.00
_cell_angle_beta 94.49
_cell_angle_gamma 90.00
_symmetry_space_group_name_H-M 'C 1 2/m 1'
_symmetry_Int_Tables_number 12
loop_
_symmetry_equiv_pos_as_xyz
'x,y,z'
'-x,-y,-z'
'-x,y,-z'
'x,-y,z'
'x+1/2,y+1/2,z'
'-x+1/2,-y+1/2,-z'
'-x+1/2,y+1/2,-z'
'x+1/2,-y+1/2,z'
loop_
_atom_site_label
_atom_site_fract_x
_atom_site_fract_y
_atom_site_fract_z
_atom_site_occupancy
La1 0.220 0.000 0.166 1
Er1 0.035 0.000 0.251 1
Er2 0.089 0.500 0.920 1
Er3 0.156 0.500 0.409 1
Er4 0.157 0.000 0.672 1
Cd1 0.000 0.500 0.500 1

***

# 11
# La2ErCd, optimized geometry, DFT PBE
# - energy of formation from the pure elements (eV/atom) = -0.044
# - crystal system = trigonal
# - polymorph energy (0 for the lowest one) (eV/atom) = 0.108
# - electronic total energy (eV per cell) = -46.521
data_La2ErCd
_cell_length_a 3.6787
_cell_length_b 3.6787
_cell_length_c 33.5433
_cell_angle_alpha 90.00
_cell_angle_beta 90.00
_cell_angle_gamma 120.00
_symmetry_space_group_name_H-M 'R 3 m'
_symmetry_Int_Tables_number 160
_symmetry_space_group_name_Hall 'R 3 -2"'
loop_
_atom_site_label
_atom_site_fract_x
_atom_site_fract_y
_atom_site_fract_z
_atom_site_occupancy
La1 0.0000 0.0000 0.0000 1
La2 0.0000 0.0000 0.1726 1
Er1 0.0000 0.0000 0.4193 1
Cd1 0.0000 0.0000 0.5865 1

***

# 12
# La5ErCd3, optimized geometry, DFT PBE
# - energy of formation from the pure elements (eV/atom) = -0.181
# - crystal system = hexagonal
# - electronic total energy (eV per cell) = -67.146
data_La5ErCd3
_cell_length_a 9.6091
_cell_length_b 9.6091
_cell_length_c 7.1085
_cell_angle_alpha 90.00
_cell_angle_beta 90.00
_cell_angle_gamma 120.00
_symmetry_space_group_name_H-M 'P 63/m c m'
_symmetry_Int_Tables_number 193
_symmetry_space_group_name_Hall '-P 6c 2'
loop_
_atom_site_label
_atom_site_fract_x
_atom_site_fract_y
_atom_site_fract_z
_atom_site_occupancy
La1 0.0000 0.3363 0.2500 1
La2 0.3333 0.6667 0.0000 1
Er1 0.0000 0.0000 0.0000 1
Cd1 0.0000 0.3232 0.7500 1